Record 1
A relaxed structure of Y2ErCu3, computed with PBE-GGA.

POSCAR file:
```
Y2ErCu3
1.0
4.901 0.000 0.000
-2.451 4.245 0.000
0.000 0.000 6.017
Y Er Cu
2 1 3
direct
0.333 0.667 0.169
0.667 0.333 0.831
0.000 0.000 0.500
0.000 0.000 0.000
0.333 0.667 0.664
0.667 0.333 0.336
```

## Properties
Total energy   -5.2194 eV per atom
Symmetry   No. 164

=====

Record 2
A relaxed structure of Ca2Sn4IrRh3, computed with PBE-GGA.

POSCAR file:
```
Ca2Sn4IrRh3
1.0
4.485 0.000 0.000
0.000 4.485 0.000
0.000 0.000 10.849
Ca Sn Ir Rh
2 4 1 3
direct
0.000 0.500 0.239
0.500 0.000 0.761
0.000 0.000 0.500
0.000 0.500 0.871
0.500 0.000 0.129
0.500 0.500 0.500
0.500 0.500 0.000
0.000 0.000 0.000
0.000 0.500 0.632
0.500 0.000 0.368
```

## Properties
Total energy   -5.6666 eV per atom
Symmetry   No. 115

=====

What formation energy values result from the calculations? In sequence: -0.26; -0.57 eV per atom.
What density values result from the calculations? In sequence: 7.11; 8.03 Mg/m³.